No. 1
The following is a DFT calculation (PBE) of an optimized crystal structure of Li2Pm5Sn4.

Unit cell a=4.468 b=7.547 c=10.936 alpha=110.43 beta=101.79 gamma=90.00
Element x y z (fractional)
Li 0.567 0.565 0.133
Li 0.433 0.435 0.867
Pm 0.161 0.921 0.322
Pm 0.839 0.079 0.678
Pm 0.161 0.398 0.322
Pm 0.500 0.000 0.000
Pm 0.839 0.602 0.678
Sn 0.708 0.707 0.416
Sn 0.000 0.698 0.000
Sn 0.292 0.293 0.584
Sn 0.000 0.302 0.000

## Properties
VASP energy   -4.381 eV/atom
E_form   -0.418 eV/atom
ρ   5.98 g/cm³
Crystal system   monoclinic



No. 2
The following is a DFT calculation (PBE) of an optimized crystal structure of Li2Pm5Sn5.

Unit cell a=4.718 b=6.500 c=13.408 alpha=118.27 beta=90.00 gamma=111.28
Element x y z (fractional)
Li 0.057 0.114 0.767
Li 0.943 0.886 0.233
Pm 0.500 0.000 0.500
Pm 0.664 0.328 0.012
Pm 0.664 0.328 0.273
Pm 0.336 0.672 0.727
Pm 0.336 0.672 0.988
Sn 0.159 0.317 0.445
Sn 0.677 0.354 0.780
Sn 0.323 0.646 0.220
Sn 0.841 0.683 0.555
Sn 0.000 0.000 0.000

## Properties
VASP energy   -4.506 eV/atom
E_form   -0.540 eV/atom
ρ   6.71 g/cm³
Crystal system   monoclinic



No. 3
The following is a DFT calculation (PBE) of an optimized crystal structure of LiPmSn3.

Unit cell a=6.221 b=6.256 c=13.191 alpha=90.00 beta=90.00 gamma=90.09
Element x y z (fractional)
Li 0.250 0.500 0.107
Li 0.750 0.000 0.893
Li 0.750 0.500 0.893
Li 0.250 0.000 0.107
Pm 0.503 0.250 0.690
Pm 0.497 0.750 0.310
Pm 0.003 0.250 0.310
Pm 0.997 0.750 0.690
Sn 0.250 0.000 0.502
Sn 0.750 0.500 0.497
Sn 0.750 0.000 0.498
Sn 0.250 0.500 0.503
Sn 0.184 0.750 0.920
Sn 0.816 0.250 0.080
Sn 0.684 0.750 0.080
Sn 0.316 0.250 0.920
Sn 0.502 0.750 0.738
Sn 0.498 0.250 0.262
Sn 0.002 0.750 0.262
Sn 0.998 0.250 0.738

## Properties
VASP energy   -4.155 eV/atom
E_form   -0.420 eV/atom
ρ   6.57 g/cm³
Distance to the lowest polymorph of the same formula   0 meV/atom
Crystal system   monoclinic



No. 4
The following is a DFT calculation (PBE) of an optimized crystal structure of Li2Pm2Sn7.

Unit cell a=6.424 b=8.009 c=6.424 alpha=86.41 beta=111.77 gamma=93.59
Element x y z (fractional)
Li 0.824 0.500 0.824
Li 0.176 0.500 0.176
Pm 0.687 0.004 0.313
Pm 0.313 0.996 0.687
Sn 0.003 0.318 0.564
Sn 0.564 0.682 0.003
Sn 0.997 0.682 0.436
Sn 0.436 0.318 0.997
Sn 0.000 0.000 0.000
Sn 0.493 0.688 0.507
Sn 0.507 0.312 0.493

## Properties
VASP energy   -3.997 eV/atom
E_form   -0.238 eV/atom
ρ   6.16 g/cm³
Crystal system   monoclinic



No. 5
The following is a DFT calculation (PBE) of an optimized crystal structure of LiPmSn.

Unit cell a=4.248 b=4.248 c=5.353 alpha=113.38 beta=113.38 gamma=90.00
Element x y z (fractional)
Li 0.946 0.946 0.892
Sn 0.628 0.628 0.257
Pm 0.275 0.275 0.551

## Properties
VASP energy   -3.865 eV/atom
E_form   -0.309 eV/atom
ρ   5.62 g/cm³
Distance to the lowest polymorph of the same formula   354 meV/atom
Crystal system   tetragonal



No. 6
The following is a DFT calculation (PBE) of an optimized crystal structure of Li6PmSn4.

Unit cell a=4.564 b=7.607 c=7.607 alpha=120.00 beta=90.00 gamma=90.00
Element x y z (fractional)
Li 0.000 0.537 0.073
Li 0.500 0.571 0.785
Li 0.000 0.537 0.463
Li 0.000 0.927 0.463
Li 0.500 0.215 0.785
Li 0.500 0.215 0.429
Pm 0.000 0.000 0.000
Sn 0.500 0.803 0.606
Sn 0.500 0.394 0.197
Sn 0.500 0.803 0.197
Sn 0.000 0.333 0.667

## Properties
VASP energy   -3.282 eV/atom
E_form   -0.351 eV/atom
ρ   4.80 g/cm³
Crystal system   hexagonal



No. 7
The following is a DFT calculation (PBE) of an optimized crystal structure of LiPmSn2.

Unit cell a=4.527 b=4.680 c=4.680 alpha=90.00 beta=90.00 gamma=90.00
Element x y z (fractional)
Li 0.500 0.500 0.500
Sn 0.000 0.000 0.500
Sn 0.000 0.500 0.000
Pm 0.500 0.000 0.000

## Properties
VASP energy   -4.253 eV/atom
E_form   -0.585 eV/atom
ρ   6.52 g/cm³
Crystal system   tetragonal



No. 8
The following is a DFT calculation (PBE) of an optimized crystal structure of LiPmSn.

Unit cell a=4.735 b=4.735 c=4.735 alpha=60.00 beta=60.00 gamma=60.00
Element x y z (fractional)
Li 0.250 0.250 0.250
Sn 0.000 0.000 0.000
Pm 0.500 0.500 0.500

## Properties
VASP energy   -4.049 eV/atom
E_form   -0.493 eV/atom
ρ   5.99 g/cm³
Distance to the lowest polymorph of the same formula   170 meV/atom
Crystal system   cubic



No. 9
The following is a DFT calculation (PBE) of an optimized crystal structure of LiPm12Sn7.

Unit cell a=9.084 b=9.084 c=9.084 alpha=107.78 beta=107.78 gamma=107.78
Element x y z (fractional)
Li 0.000 0.000 0.000
Pm 0.790 0.329 0.616
Pm 0.671 0.384 0.210
Pm 0.343 0.030 0.251
Pm 0.970 0.749 0.657
Pm 0.384 0.210 0.671
Pm 0.749 0.657 0.970
Pm 0.251 0.343 0.030
Pm 0.616 0.790 0.329
Pm 0.030 0.251 0.343
Pm 0.657 0.970 0.749
Pm 0.329 0.616 0.790
Pm 0.210 0.671 0.384
Sn 0.104 0.645 0.984
Sn 0.355 0.016 0.896
Sn 0.016 0.896 0.355
Sn 0.500 0.500 0.500
Sn 0.984 0.104 0.645
Sn 0.645 0.984 0.104
Sn 0.896 0.355 0.016

## Properties
VASP energy   -4.794 eV/atom
E_form   -0.447 eV/atom
ρ   7.01 g/cm³
Crystal system   trigonal



No. 10
The following is a DFT calculation (PBE) of an optimized crystal structure of LiPmSn2.

Unit cell a=3.430 b=3.430 c=11.138 alpha=81.14 beta=81.14 gamma=60.00
Element x y z (fractional)
Li 0.000 0.000 0.000
Sn 0.083 0.083 0.750
Sn 0.917 0.917 0.250
Pm 0.500 0.500 0.500

## Properties
VASP energy   -3.845 eV/atom
E_form   -0.177 eV/atom
ρ   5.79 g/cm³
Crystal system   trigonal



No. 11
The following is a DFT calculation (PBE) of an optimized crystal structure of Li2Pm2Sn3.

Unit cell a=8.001 b=7.744 c=6.154 alpha=90.00 beta=95.31 gamma=90.00
Element x y z (fractional)
Li 0.512 0.323 0.598
Li 0.988 0.823 0.402
Li 0.012 0.177 0.598
Li 0.488 0.677 0.402
Pm 0.838 0.638 0.847
Pm 0.338 0.862 0.847
Pm 0.662 0.138 0.153
Pm 0.162 0.362 0.153
Sn 0.500 0.500 0.000
Sn 0.000 0.000 0.000
Sn 0.683 0.989 0.641
Sn 0.817 0.489 0.359
Sn 0.183 0.511 0.641
Sn 0.317 0.011 0.359

## Properties
VASP energy   -4.101 eV/atom
E_form   -0.482 eV/atom
ρ   5.77 g/cm³
Distance to the lowest polymorph of the same formula   158 meV/atom
Crystal system   monoclinic



No. 12
The following is a DFT calculation (PBE) of an optimized crystal structure of LiPm3Sn3.

Unit cell a=4.658 b=6.259 c=14.459 alpha=83.89 beta=80.73 gamma=68.15
Element x y z (fractional)
Li 0.759 0.080 0.402
Li 0.241 0.920 0.598
Pm 0.536 0.311 0.616
Pm 0.464 0.689 0.384
Pm 0.256 0.264 0.223
Pm 0.744 0.736 0.777
Pm 0.404 0.271 0.920
Pm 0.596 0.729 0.080
Sn 0.866 0.716 0.552
Sn 0.134 0.284 0.448
Sn 0.128 0.819 0.925
Sn 0.872 0.181 0.075
Sn 0.967 0.830 0.236
Sn 0.033 0.170 0.764

## Properties
VASP energy   -4.731 eV/atom
E_form   -0.706 eV/atom
ρ   6.87 g/cm³
Crystal system   monoclinic



No. 13
The following is a DFT calculation (PBE) of an optimized crystal structure of Li2Pm3Sn7.

Unit cell a=4.515 b=4.658 c=14.574 alpha=99.20 beta=90.00 gamma=90.00
Element x y z (fractional)
Li 0.000 0.864 0.729
Li 0.000 0.136 0.271
Pm 0.500 0.500 0.000
Pm 0.500 0.680 0.360
Pm 0.500 0.320 0.640
Sn 0.000 0.413 0.825
Sn 0.000 0.778 0.556
Sn 0.000 0.000 0.000
Sn 0.000 0.587 0.175
Sn 0.500 0.087 0.173
Sn 0.500 0.913 0.827
Sn 0.000 0.222 0.444

## Properties
VASP energy   -4.335 eV/atom
E_form   -0.493 eV/atom
ρ   7.02 g/cm³
Crystal system   orthorhombic



No. 14
The following is a DFT calculation (PBE) of an optimized crystal structure of Li4PmSn5.

Unit cell a=3.523 b=3.523 c=17.771 alpha=90.00 beta=90.00 gamma=90.00
Element x y z (fractional)
Li 0.000 0.000 0.219
Li 0.000 0.000 0.406
Li 0.000 0.000 0.594
Li 0.000 0.000 0.781
Pm 0.000 0.000 0.000
Sn 0.500 0.500 0.126
Sn 0.500 0.500 0.312
Sn 0.500 0.500 0.500
Sn 0.500 0.500 0.688
Sn 0.500 0.500 0.874

## Properties
VASP energy   -3.621 eV/atom
E_form   -0.379 eV/atom
ρ   5.77 g/cm³
Crystal system   tetragonal



No. 15
The following is a DFT calculation (PBE) of an optimized crystal structure of LiPm2Sn6.

Unit cell a=4.572 b=9.326 c=9.326 alpha=42.54 beta=75.75 gamma=75.75
Element x y z (fractional)
Li 0.998 0.002 0.002
Pm 0.115 0.385 0.385
Pm 0.886 0.614 0.614
Sn 0.306 0.979 0.408
Sn 0.694 0.020 0.592
Sn 0.694 0.592 0.020
Sn 0.500 0.271 0.728
Sn 0.500 0.728 0.271
Sn 0.306 0.408 0.979

## Properties
VASP energy   -4.348 eV/atom
E_form   -0.411 eV/atom
ρ   6.46 g/cm³
Crystal system   monoclinic



No. 16
The following is a DFT calculation (PBE) of an optimized crystal structure of LiPm5Sn6.

Unit cell a=4.827 b=10.245 c=9.092 alpha=55.71 beta=74.60 gamma=61.88
Element x y z (fractional)
Li 0.000 0.000 0.000
Pm 0.500 0.152 0.696
Pm 0.000 0.333 0.334
Pm 0.500 0.500 0.000
Pm 0.000 0.667 0.666
Pm 0.500 0.848 0.304
Sn 0.750 0.082 0.335
Sn 0.250 0.583 0.335
Sn 0.251 0.248 0.000
Sn 0.749 0.752 0.000
Sn 0.750 0.417 0.665
Sn 0.250 0.918 0.665

## Properties
VASP energy   -4.773 eV/atom
E_form   -0.632 eV/atom
ρ   7.32 g/cm³
Crystal system   monoclinic



No. 17
The following is a DFT calculation (PBE) of an optimized crystal structure of LiPmSn.

Unit cell a=4.760 b=4.760 c=7.604 alpha=90.00 beta=90.00 gamma=120.00
Element x y z (fractional)
Li 0.333 0.167 0.750
Li 0.667 0.833 0.250
Pm 0.000 0.500 0.500
Pm 0.000 0.500 0.000
Sn 0.667 0.833 0.750
Sn 0.333 0.167 0.250

## Properties
VASP energy   -4.219 eV/atom
E_form   -0.663 eV/atom
ρ   6.02 g/cm³
Distance to the lowest polymorph of the same formula   0 meV/atom
Crystal system   hexagonal



No. 18
The following is a DFT calculation (PBE) of an optimized crystal structure of LiPm5Sn4.

Unit cell a=4.250 b=8.638 c=8.612 alpha=80.60 beta=104.29 gamma=90.00
Element x y z (fractional)
Li 0.500 0.000 0.000
Pm 0.823 0.580 0.645
Pm 0.839 0.125 0.677
Pm 0.161 0.875 0.323
Pm 0.500 0.500 0.000
Pm 0.177 0.420 0.355
Sn 0.355 0.844 0.710
Sn 0.987 0.774 0.973
Sn 0.645 0.156 0.290
Sn 0.013 0.226 0.027

## Properties
VASP energy   -4.571 eV/atom
E_form   -0.403 eV/atom
ρ   6.63 g/cm³
Crystal system   monoclinic



No. 19
The following is a DFT calculation (PBE) of an optimized crystal structure of LiPm2Sn8.

Unit cell a=4.664 b=4.664 c=13.344 alpha=90.00 beta=90.00 gamma=90.00
Element x y z (fractional)
Li 0.000 0.000 0.000
Pm 0.000 0.000 0.322
Pm 0.000 0.000 0.678
Sn 0.000 0.500 0.500
Sn 0.500 0.000 0.500
Sn 0.500 0.500 0.307
Sn 0.500 0.500 0.693
Sn 0.000 0.500 0.130
Sn 0.500 0.000 0.130
Sn 0.000 0.500 0.870
Sn 0.500 0.000 0.870

## Properties
VASP energy   -4.337 eV/atom
E_form   -0.388 eV/atom
ρ   7.13 g/cm³
Crystal system   tetragonal



No. 20
The following is a DFT calculation (PBE) of an optimized crystal structure of Li2Pm3Sn2.

Unit cell a=4.831 b=4.829 c=9.593 alpha=104.59 beta=90.00 gamma=120.01
Element x y z (fractional)
Li 0.903 0.805 0.207
Li 0.097 0.195 0.793
Pm 0.500 0.000 0.000
Pm 0.630 0.260 0.388
Pm 0.370 0.740 0.612
Sn 0.763 0.527 0.791
Sn 0.237 0.473 0.209

## Properties
VASP energy   -4.202 eV/atom
E_form   -0.476 eV/atom
ρ   6.15 g/cm³
Crystal system   monoclinic